# 1
## LiNpRhO6 (PBE)

Data for LiNpRhO6 after structural relaxation.

Lattice parameters (Å, degrees): 5.2689 5.2689 9.4149 90.00 90.00 120.00
With the nearest neighbours (Å) after each atom.
Space group P-31c (No. 163)
One atom of each set of equivalent atoms:
Li 0.0000 0.0000 0.0000  6 O 2.24
Np 0.3333 0.6667 0.2500  6 O 2.03
Rh 0.3333 0.6667 0.7500  6 O 2.01
O 0.0026 0.3509 0.6359  1 Rh 2.01, 1 Np 2.03, 1 Li 2.24



# 2
## MgAg2PbBr6 (PBE)

Data for MgAg2PbBr6 after structural relaxation.

Lattice parameters (Å, degrees): 7.2401 7.2401 19.6810 90.00 90.00 120.00
With the nearest neighbours (Å) after each atom.
Space group R3 (No. 146, hexagonal axes)
One atom of each set of equivalent atoms:
Mg 0.0000 0.0000 0.0000  6 Br 2.71-2.73
Ag 0.0000 0.0000 0.3159  6 Br 2.83-2.99
Ag 0.0000 0.0000 0.8022  6 Br 2.82-3.07
Pb 0.0000 0.0000 0.5065  6 Br 3.01-3.11
Br 0.0092 0.3546 0.7394  1 Mg 2.71, 2 Ag 2.82-2.99
Br 0.0139 0.7110 0.9141  1 Mg 2.73, 1 Ag 2.83, 1 Pb 3.01



ΔE_f (raw), respectively: -1780; -810 meV/atom.